Below is Ag14As2Se9 after structural relaxation, with properties calculated at the PBE level.

Geometry as POSCAR:
```
Ag14As2Se9
1.0
-2.3794 6.2375 -3.5065
-5.9241 -3.0527 5.2451
2.8578 6.7888 6.2367
Ag Se As
14 9 2
Direct
0.6080 0.9237 0.0588 Ag
0.4961 0.3866 0.3596 Ag
0.7108 0.6406 0.1236 Ag
0.8405 0.1899 0.5723 Ag
0.1595 0.8101 0.4277 Ag
0.9002 0.2736 0.0358 Ag
0.0182 0.0410 0.2968 Ag
0.5883 0.9170 0.3793 Ag
0.4117 0.0830 0.6207 Ag
0.9818 0.9590 0.7032 Ag
0.5039 0.6134 0.6404 Ag
0.0998 0.7264 0.9642 Ag
0.3920 0.0763 0.9412 Ag
0.2892 0.3594 0.8764 Ag
0.3241 0.6076 0.0592 Se
0.7678 0.7079 0.3811 Se
0.2322 0.2921 0.6189 Se
0.5908 0.9279 0.7395 Se
0.0739 0.6778 0.6849 Se
0.9261 0.3222 0.3151 Se
0.6759 0.3924 0.9408 Se
0.4092 0.0721 0.2605 Se
0.0000 0.0000 0.0000 Se
0.7561 0.4645 0.6897 As
0.2439 0.5355 0.3103 As
```

The calculation puts the formation energy (no corrections) at -61.1 kJ/mol of formula units.

---

Below is Ag3AsSe after structural relaxation, with properties calculated at the PBE level.

Geometry as POSCAR:
```
Ag3AsSe
1.0
-1.3506 -4.7407 0.4566
3.4267 -1.2969 -3.3290
3.3076 -0.5922 3.6353
Ag Se As
3 1 1
Direct
0.0000 0.0000 0.5000 Ag
0.5000 0.0000 0.0000 Ag
0.0000 0.5000 0.0000 Ag
0.5000 0.5000 0.5000 Se
0.0000 0.0000 0.0000 As
```

For the distance to the lowest polymorph of the same formula, the calculation gives 0.000 eV/atom. The calculation puts the formation energy (no corrections) at 215.9 kJ/mol of formula units.

---

Below is AgAs2Se4 after structural relaxation, with properties calculated at the PBE level.

Geometry as POSCAR:
```
AgAs2Se4
1.0
3.7672 0.0000 0.0000
-1.8836 6.2907 0.0000
0.0000 0.0000 13.5478
Se As Ag
8 4 2
Direct
0.7752 0.5504 0.3815 Se
0.2248 0.4496 0.6185 Se
0.0530 0.1060 0.2500 Se
0.5000 0.0000 0.5000 Se
0.2248 0.4496 0.8815 Se
0.5000 0.0000 0.0000 Se
0.7752 0.5504 0.1185 Se
0.9470 0.8940 0.7500 Se
0.8610 0.7220 0.5650 As
0.1390 0.2780 0.4350 As
0.1390 0.2780 0.0650 As
0.8610 0.7220 0.9350 As
0.5931 0.1861 0.7500 Ag
0.4069 0.8139 0.2500 Ag
```

For the distance to the lowest polymorph of the same formula, the calculation gives 0.039 eV/atom. The calculation puts the formation energy (no corrections) at 6.6 kJ/mol of formula units.

---

Below is AgAsSe3 after structural relaxation, with properties calculated at the PBE level.

Geometry as POSCAR:
```
AgAsSe3
1.0
5.0187 0.0000 0.0000
0.0000 5.0187 0.0000
0.0000 0.0000 5.0187
Se Ag As
3 1 1
Direct
0.0000 0.0000 0.5000 Se
0.0000 0.5000 0.0000 Se
0.5000 0.0000 0.0000 Se
0.0000 0.0000 0.0000 Ag
0.5000 0.5000 0.5000 As
```

For the distance to the lowest polymorph of the same formula, the calculation gives 0.794 eV/atom. The calculation puts the formation energy (no corrections) at 398.1 kJ/mol of formula units.

---

Below is AgAsSe3 after structural relaxation, with properties calculated at the PBE level.

Geometry as POSCAR:
```
AgAsSe3
1.0
-0.4559 -2.7236 2.5533
2.8869 -5.4320 -5.2787
7.8162 2.8606 1.6769
As Se Ag
2 6 2
Direct
0.4298 0.3320 0.8596 As
0.5702 0.6680 0.1404 As
0.2366 0.6063 0.4732 Se
0.6686 0.8966 0.3372 Se
0.0169 0.2366 0.0337 Se
0.7634 0.3937 0.5268 Se
0.3314 0.1034 0.6628 Se
0.9831 0.7634 0.9663 Se
0.8274 0.8395 0.6548 Ag
0.1726 0.1605 0.3452 Ag
```

For the distance to the lowest polymorph of the same formula, the calculation gives 0.000 eV/atom. The calculation puts the formation energy (no corrections) at 15.2 kJ/mol of formula units.

---

Below is AgAs2Se2 after structural relaxation, with properties calculated at the PBE level.

Geometry as POSCAR:
```
AgAs2Se2
1.0
7.9273 0.0000 0.0000
0.0000 7.9273 0.0000
0.0000 0.0000 3.7310
As Se Ag
4 4 2
Direct
0.7090 0.2090 0.0000 As
0.2090 0.2910 0.0000 As
0.2910 0.7910 0.0000 As
0.7910 0.7090 0.0000 As
0.6449 0.8551 0.5000 Se
0.1449 0.6449 0.5000 Se
0.8551 0.3551 0.5000 Se
0.3551 0.1449 0.5000 Se
0.5000 0.5000 0.0000 Ag
0.0000 0.0000 0.0000 Ag
```

For the distance to the lowest polymorph of the same formula, the calculation gives 0.000 eV/atom. The calculation puts the formation energy (no corrections) at 79.8 kJ/mol of formula units.

---

Below is Ag8AsSe6 after structural relaxation, with properties calculated at the PBE level.

Geometry as POSCAR:
```
Ag8AsSe6
1.0
-1.3092 -5.6385 -5.2528
7.0372 1.6098 -3.4819
4.9966 -7.3866 6.6836
Se Ag As
12 16 2
Direct
0.7486 0.2817 0.6037 Se
0.2514 0.2183 0.1037 Se
0.7486 0.7183 0.6037 Se
0.8079 0.5000 0.2522 Se
0.9964 0.0000 0.3570 Se
0.2514 0.7817 0.1037 Se
0.5185 0.0000 0.3566 Se
0.2721 0.5000 0.4994 Se
0.7279 0.0000 0.9994 Se
0.1921 0.0000 0.7522 Se
0.0036 0.5000 0.8570 Se
0.4815 0.5000 0.8566 Se
0.5986 0.5000 0.4440 Ag
0.1653 0.3001 0.3329 Ag
0.2754 0.0000 0.5190 Ag
0.5348 0.7035 0.2261 Ag
0.7246 0.5000 0.0190 Ag
0.4652 0.2035 0.7261 Ag
0.1016 0.2955 0.6428 Ag
0.8984 0.7955 0.1428 Ag
0.1653 0.6999 0.3329 Ag
0.8984 0.2045 0.1428 Ag
0.5348 0.2965 0.2261 Ag
0.1016 0.7045 0.6428 Ag
0.4014 0.0000 0.9440 Ag
0.8347 0.1999 0.8329 Ag
0.8347 0.8001 0.8329 Ag
0.4652 0.7965 0.7261 Ag
0.7549 0.0000 0.4970 As
0.2451 0.5000 0.9970 As
```

The calculation puts the formation energy (no corrections) at -97.5 kJ/mol of formula units.

---

Below is AgAsSe after structural relaxation, with properties calculated at the PBE level.

Geometry as POSCAR:
```
AgAsSe
1.0
-0.3844 0.8825 3.7656
-4.8275 -0.2996 -0.4255
0.5579 -7.6487 1.8510
Ag As Se
2 2 2
Direct
0.3798 0.7732 0.2229 Ag
0.8800 0.0851 0.0169 Ag
0.2324 0.5998 0.6322 As
0.7321 0.2592 0.6075 As
0.5570 0.2750 0.3083 Se
0.0569 0.5836 0.9314 Se
```

The calculation puts the formation energy (no corrections) at -2.0 kJ/mol of formula units.